10
Lattice="2.0923 -8.3253 0.0000 2.0923 8.3253 0.0000 0.0000 0.0000 6.8677" Properties=species:S:1:pos:R:3 comment="PuCdS3, optimized geometry, DFT PBE" crystal_system=orthorhombic dft_energy_ev_per_atom=-6.531 raw_formation_energy_mev_per_atom=-1004.9 pbc="T T T"
Pu 2.0923 5.1239 5.1508
Pu 2.0923 -5.1239 1.7169
Cd 2.0923 0.8590 5.1508
Cd 2.0923 -0.8590 1.7169
S 2.0923 7.8045 5.1508
S 2.0923 2.8602 3.4519
S 2.0923 2.8602 6.8497
S 2.0923 -2.8602 0.0181
S 2.0923 -2.8602 3.4158
S 2.0923 -7.8045 1.7169